1 | VASP calculation (PBE) on crystalline TiMoH3 at its relaxed geometry.

a = 3.415 Å, b = 3.415 Å, c = 3.415 Å
α = 90.00°, β = 90.00°, γ = 90.00°
Fractional coordinates of all 5 atoms:
Ti1 0.000 0.000 0.000
H1 0.000 0.500 0.000
H2 0.500 0.000 0.000
H3 0.000 0.000 0.500
Mo1 0.500 0.500 0.500

Computed properties:
DOS at the Fermi energy ... 2.1 states/eV/cell

***

2 | VASP calculation (PBE) on crystalline TiMoH3 at its relaxed geometry.

a = 3.481 Å, b = 3.481 Å, c = 3.481 Å
α = 90.00°, β = 90.00°, γ = 90.00°
Fractional coordinates of all 5 atoms:
Ti1 0.500 0.500 0.500
H1 0.500 0.000 0.000
H2 0.000 0.500 0.000
H3 0.000 0.000 0.500
Mo1 0.000 0.000 0.000

Computed properties:
DOS at the Fermi energy ... 5.5 states/eV/cell

***

Pick the least stable structure from those above. Pick: 1